This record from Alexandria describes a geometry-optimized Rb2PrV3F12 structure. The functional is GGA+U.

```
data_Rb2PrV3F12
_chemical_formula_sum 'Rb6 Pr3 V9 F36'
_cell_length_a 7.7661
_cell_length_b 7.7661
_cell_length_c 17.7368
_cell_angle_alpha 90.00
_cell_angle_beta 90.00
_cell_angle_gamma 120.00
_space_group_name_H-M_alt 'R -3 m'
_space_group_IT_number 166
_space_group_name_Hall '-R 3 2"'
loop_
_atom_site_label
_atom_site_type_symbol
_atom_site_fract_x
_atom_site_fract_y
_atom_site_fract_z
Rb1 Rb 0.0000 0.0000 0.1160
Pr1 Pr 0.0000 0.0000 0.5000
V1 V 0.0000 0.5000 0.0000
F1 F 0.0056 0.5028 0.1163
F2 F 0.0764 0.5382 0.3233
```

Calculated values
electronic total energy = -0.2172 hartree per atom
D(E_F) = 20.6 states/eV per cell